No. 1
Entry from the Alexandria database: MgTiCd2 after structural relaxation (GGA-PBE).

a b c (Å): 10.2480 10.2480 10.2480
angles (deg): 17.15 17.15 17.15
Sites, in units of the cell vectors:
Mg (0.0000, 0.0000, 0.0000)
Ti (0.5000, 0.5000, 0.5000)
Cd (0.2479, 0.2479, 0.2479)
Cd (0.7521, 0.7521, 0.7521)

Values from the calculation:
Its formation energy is 0.241 eV/f.u.

=====

No. 2
Entry from the Alexandria database: SmInHg after structural relaxation (GGA-PBE).

a b c (Å): 8.9821 8.9821 8.9821
angles (deg): 158.01 142.36 44.02
Sites, in units of the cell vectors:
Sm (0.1571, 0.1571, 0.0000)
Sm (0.8429, 0.8429, 0.0000)
In (0.2470, 0.5000, 0.7470)
In (0.7530, 0.5000, 0.2530)
Hg (0.3419, 0.3419, 0.0000)
Hg (0.6581, 0.6581, 0.0000)

Values from the calculation:
Its formation energy is -0.908 eV/f.u.

=====

No. 3
Entry from the Alexandria database: NaTl2Cd after structural relaxation (GGA-PBE).

a b c (Å): 3.6901 3.6901 8.1083
angles (deg): 90.00 90.00 90.00
Sites, in units of the cell vectors:
Na (0.0000, 0.0000, 0.0000)
Tl (0.5000, 0.5000, 0.2679)
Tl (0.5000, 0.5000, 0.7321)
Cd (0.0000, 0.0000, 0.5000)

Values from the calculation:
Its formation energy is -0.267 eV/f.u. The calculation puts the distance to the lowest polymorph of the same formula at 0.009 eV/atom.

=====

No. 4
Entry from the Alexandria database: BeAlIn after structural relaxation (GGA-PBE).

a b c (Å): 6.2708 6.2708 6.2708
angles (deg): 152.79 152.79 38.85
Sites, in units of the cell vectors:
Be (0.0000, 0.0000, 0.0000)
Al (0.6196, 0.6196, 0.0000)
In (0.3309, 0.3309, 0.0000)

Values from the calculation:
Its formation energy is 1.014 eV/f.u.

=====

No. 5
Entry from the Alexandria database: ScNi2Ag2 after structural relaxation (GGA-PBE).

a b c (Å): 6.9773 6.9773 6.9773
angles (deg): 150.21 150.21 42.64
Sites, in units of the cell vectors:
Sc (0.0000, 0.0000, 0.0000)
Ni (0.2500, 0.7500, 0.5000)
Ni (0.7500, 0.2500, 0.5000)
Ag (0.3943, 0.3943, 0.0000)
Ag (0.6057, 0.6057, 0.0000)

Values from the calculation:
Its formation energy is 0.718 eV/f.u. The calculation puts the distance to the lowest polymorph of the same formula at 0.187 eV/atom.

=====

No. 6
Entry from the Alexandria database: VCd2Pd after structural relaxation (GGA-PBE).

a b c (Å): 4.6689 4.6689 4.6689
angles (deg): 60.00 60.00 60.00
Sites, in units of the cell vectors:
V (0.0000, 0.0000, 0.0000)
Cd (0.2500, 0.2500, 0.2500)
Cd (0.7500, 0.7500, 0.7500)
Pd (0.5000, 0.5000, 0.5000)

Values from the calculation:
Its formation energy is 0.314 eV/f.u.

=====

No. 7
Entry from the Alexandria database: Li3TiGe after structural relaxation (GGA-PBE).

a b c (Å): 4.5210 4.5210 4.5210
angles (deg): 90.00 90.00 90.00
Sites, in units of the cell vectors:
Li (0.0000, 0.0000, 0.5000)
Li (0.0000, 0.5000, 0.0000)
Li (0.5000, 0.0000, 0.0000)
Ti (0.5000, 0.5000, 0.5000)
Ge (0.0000, 0.0000, 0.0000)

Values from the calculation:
Its formation energy is 2.563 eV/f.u. The calculation puts the distance to the lowest polymorph of the same formula at 0.000 eV/atom.

=====

No. 8
Entry from the Alexandria database: LaZr2W after structural relaxation (GGA-PBE).

a b c (Å): 5.0562 5.0562 3.4539
angles (deg): 90.00 90.00 90.16
Sites, in units of the cell vectors:
La (0.0000, 0.0000, 0.0000)
Zr (0.0000, 0.5000, 0.5000)
Zr (0.5000, 0.0000, 0.5000)
W (0.5000, 0.5000, 0.0000)

Values from the calculation:
Its formation energy is 1.906 eV/f.u. The calculation puts the distance to the lowest polymorph of the same formula at 0.301 eV/atom.

=====

No. 9
Entry from the Alexandria database: YThSbPb after structural relaxation (GGA-PBE).

a b c (Å): 7.7068 7.7068 7.7068
angles (deg): 34.03 34.03 34.03
Sites, in units of the cell vectors:
Y (0.0000, 0.0000, 0.0000)
Th (0.5003, 0.5003, 0.5003)
Sb (0.2525, 0.2525, 0.2525)
Pb (0.7476, 0.7476, 0.7476)

Values from the calculation:
As for the raw formation energy: -0.70 eV/atom.

=====

No. 10
Entry from the Alexandria database: SmNpTc2 after structural relaxation (GGA-PBE).

a b c (Å): 8.7062 8.7062 8.7062
angles (deg): 22.02 22.02 22.02
Sites, in units of the cell vectors:
Sm (0.0000, 0.0000, 0.0000)
Np (0.5000, 0.5000, 0.5000)
Tc (0.2336, 0.2336, 0.2336)
Tc (0.7664, 0.7664, 0.7664)

Values from the calculation:
Its formation energy is 0.832 eV/f.u. The calculation puts the distance to the lowest polymorph of the same formula at 0.137 eV/atom.

=====

No. 11
Entry from the Alexandria database: BaSr2Ca after structural relaxation (GGA-PBE).

a b c (Å): 7.8503 7.8503 4.0857
angles (deg): 100.26 100.26 117.26
Sites, in units of the cell vectors:
Ba (0.0000, 0.0000, 0.0000)
Sr (0.0000, 0.5000, 0.5000)
Sr (0.5000, 0.0000, 0.5000)
Ca (0.5000, 0.5000, 0.0000)

Values from the calculation:
Its formation energy is 0.087 eV/f.u. The calculation puts the distance to the lowest polymorph of the same formula at 0.005 eV/atom.

=====

No. 12
Entry from the Alexandria database: U4As2SeS after structural relaxation (GGA-PBE).

a b c (Å): 6.7550 4.0896 7.1252
angles (deg): 90.00 110.34 90.00
Sites, in units of the cell vectors:
U (0.2391, 0.0000, 0.2389)
U (0.2451, 0.5000, 0.7561)
U (0.7549, 0.5000, 0.2439)
U (0.7609, 0.0000, 0.7611)
As (0.5000, 0.0000, 0.0000)
As (0.5000, 0.5000, 0.5000)
Se (0.0000, 0.0000, 0.5000)
S (0.0000, 0.5000, 0.0000)

Values from the calculation:
As for the raw formation energy: -0.95 eV/atom.

=====

No. 13
Entry from the Alexandria database: RbBePb3 after structural relaxation (GGA-PBE).

a b c (Å): 6.2677 6.2677 6.2677
angles (deg): 90.00 90.00 90.00
Sites, in units of the cell vectors:
Rb (0.0000, 0.0000, 0.0000)
Be (0.5000, 0.5000, 0.5000)
Pb (0.0000, 0.0000, 0.5000)
Pb (0.0000, 0.5000, 0.0000)
Pb (0.5000, 0.0000, 0.0000)

Values from the calculation:
Its formation energy is 8.330 eV/f.u. The calculation puts the distance to the lowest polymorph of the same formula at 1.419 eV/atom.

=====

No. 14
Entry from the Alexandria database: Pm2Ho5Th2 after structural relaxation (GGA-PBE).

a b c (Å): 10.0920 10.0920 10.0920
angles (deg): 84.91 107.78 141.57
Sites, in units of the cell vectors:
Pm (0.0020, 0.1252, 0.1271)
Pm (0.0020, 0.3748, 0.3768)
Pm (0.9980, 0.6252, 0.6232)
Pm (0.9980, 0.8748, 0.8729)
Ho (0.0970, 0.3931, 0.8116)
Ho (0.0970, 0.7854, 0.2039)
Ho (0.3761, 0.8928, 0.9833)
Ho (0.4192, 0.2884, 0.4162)
Ho (0.4192, 0.5030, 0.6308)
Ho (0.5815, 0.2854, 0.1884)
Ho (0.5815, 0.8931, 0.7961)
Ho (0.8722, 0.0030, 0.5838)
Ho (0.8722, 0.7884, 0.3692)
Ho (0.9095, 0.3928, 0.0167)
Th (0.4622, 0.2129, 0.7493)
Th (0.4636, 0.7129, 0.2507)
Th (0.5380, 0.0380, 0.5000)
Th (0.5380, 0.5380, 0.0000)

Values from the calculation:
Its formation energy is 2.163 eV/f.u. The calculation puts the distance to the lowest polymorph of the same formula at 0.000 eV/atom.

=====

No. 15
Entry from the Alexandria database: TaNb2Cd after structural relaxation (GGA-PBE).

a b c (Å): 3.3977 3.3977 6.5838
angles (deg): 90.00 90.00 90.00
Sites, in units of the cell vectors:
Ta (0.0000, 0.0000, 0.0000)
Nb (0.5000, 0.5000, 0.2274)
Nb (0.5000, 0.5000, 0.7726)
Cd (0.0000, 0.0000, 0.5000)

Values from the calculation:
Its formation energy is 0.432 eV/f.u.

=====

No. 16
Entry from the Alexandria database: YSn3Ge after structural relaxation (GGA-PBE).

a b c (Å): 5.3230 5.3230 5.3230
angles (deg): 90.00 90.00 90.00
Sites, in units of the cell vectors:
Y (0.0000, 0.0000, 0.0000)
Sn (0.0000, 0.5000, 0.5000)
Sn (0.5000, 0.0000, 0.5000)
Sn (0.5000, 0.5000, 0.0000)
Ge (0.5000, 0.5000, 0.5000)

Values from the calculation:
Its formation energy is 1.472 eV/f.u. The calculation puts the distance to the lowest polymorph of the same formula at 0.000 eV/atom.

=====

No. 17
Entry from the Alexandria database: TcBr2Cl after structural relaxation (GGA-PBE).

a b c (Å): 8.1578 8.1578 8.1578
angles (deg): 25.81 25.81 25.81
Sites, in units of the cell vectors:
Tc (0.0000, 0.0000, 0.0000)
Br (0.2693, 0.2693, 0.2693)
Br (0.7307, 0.7307, 0.7307)
Cl (0.5000, 0.5000, 0.5000)

Values from the calculation:
As for the raw formation energy: 0.08 eV/atom. The calculation puts the distance to the lowest polymorph of the same formula at 0.410 eV/atom.

=====

No. 18
Entry from the Alexandria database: LaCrHg2 after structural relaxation (GGA-PBE).

a b c (Å): 5.1665 5.1665 5.1665
angles (deg): 120.39 120.39 89.33
Sites, in units of the cell vectors:
La (0.0000, 0.0000, 0.0000)
Cr (0.2500, 0.7500, 0.5000)
Hg (0.5000, 0.5000, 0.0000)
Hg (0.7500, 0.2500, 0.5000)

Values from the calculation:
Its formation energy is 0.118 eV/f.u.

=====

No. 19
Entry from the Alexandria database: CdGa3C after structural relaxation (GGA-PBE).

a b c (Å): 4.4448 4.4448 4.4448
angles (deg): 90.00 90.00 90.00
Sites, in units of the cell vectors:
Cd (0.0000, 0.0000, 0.0000)
Ga (0.0000, 0.5000, 0.5000)
Ga (0.5000, 0.0000, 0.5000)
Ga (0.5000, 0.5000, 0.0000)
C (0.5000, 0.5000, 0.5000)

Values from the calculation:
Its formation energy is 3.388 eV/f.u. The calculation puts the distance to the lowest polymorph of the same formula at 0.000 eV/atom.

=====

No. 20
Entry from the Alexandria database: Tl3TcAg after structural relaxation (GGA-PBE).

a b c (Å): 5.3294 5.3294 5.3294
angles (deg): 90.00 90.00 90.00
Sites, in units of the cell vectors:
Tl (0.0000, 0.0000, 0.5000)
Tl (0.0000, 0.5000, 0.0000)
Tl (0.5000, 0.0000, 0.0000)
Tc (0.0000, 0.0000, 0.0000)
Ag (0.5000, 0.5000, 0.5000)

Values from the calculation:
Its formation energy is 3.289 eV/f.u. The calculation puts the distance to the lowest polymorph of the same formula at 0.000 eV/atom.

=====

No. 21
Entry from the Alexandria database: Ti2CrMo6 after structural relaxation (GGA-PBE).

a b c (Å): 6.3152 6.3152 4.3450
angles (deg): 90.00 90.00 119.84
Sites, in units of the cell vectors:
Ti (0.2212, 0.7788, 0.0000)
Ti (0.7788, 0.2212, 0.0000)
Cr (0.0000, 0.0000, 0.5000)
Mo (0.1695, 0.4454, 0.5000)
Mo (0.2828, 0.2828, 0.0000)
Mo (0.4454, 0.1695, 0.5000)
Mo (0.5546, 0.8305, 0.5000)
Mo (0.7172, 0.7172, 0.0000)
Mo (0.8305, 0.5546, 0.5000)

Values from the calculation:
Its formation energy is 3.918 eV/f.u.

=====

No. 22
Entry from the Alexandria database: Na4Np3TiS8 after structural relaxation (GGA-PBE).

a b c (Å): 8.0706 8.0706 8.0706
angles (deg): 57.69 57.69 57.69
Sites, in units of the cell vectors:
Na (0.0000, 0.0000, 0.0000)
Na (0.0000, 0.5000, 0.5000)
Na (0.5000, 0.0000, 0.5000)
Na (0.5000, 0.5000, 0.0000)
Np (0.0000, 0.0000, 0.5000)
Np (0.0000, 0.5000, 0.0000)
Np (0.5000, 0.0000, 0.0000)
Ti (0.5000, 0.5000, 0.5000)
S (0.2441, 0.2441, 0.2441)
S (0.2570, 0.7321, 0.7321)
S (0.2679, 0.2679, 0.7430)
S (0.2679, 0.7430, 0.2679)
S (0.7321, 0.2570, 0.7321)
S (0.7321, 0.7321, 0.2570)
S (0.7430, 0.2679, 0.2679)
S (0.7559, 0.7559, 0.7559)

Values from the calculation:
As for the raw formation energy: -1.34 eV/atom.